i) ## Ce2PmPt (GGA-PBE)

Data for a geometry-optimized Ce2PmPt structure.

a = 3.7267 Å, b = 3.7267 Å, c = 10.4679 Å
α = 79.75°, β = 79.75°, γ = 60.00°
Last column: magnetic moment on the atom in μB.
Fractional positions:
Ce  0.1051  0.1051  0.6846  0.80
Ce  0.8949  0.8949  0.3154  0.80
Pm  0.0000  0.0000  0.0000  0.18
Pt  0.5000  0.5000  0.5000  -0.02

- magnetic moment (μB/f.u.) = 2.31

***

ii) ## Ce2PmPt (GGA-PBE)

Data for a geometry-optimized Ce2PmPt structure.

a = 3.7437 Å, b = 6.0291 Å, c = 10.1470 Å
α = 90.00°, β = 90.00°, γ = 108.03°
Last column: magnetic moment on the atom in μB.
Fractional positions:
Pt  0.7924  0.5845  0.7500  -0.01
Pt  0.2076  0.4155  0.2500  -0.01
Pm  0.0796  0.1590  0.7500  0.01
Pm  0.9204  0.8410  0.2500  0.01
Ce  0.6361  0.2724  0.4497  0.39
Ce  0.3639  0.7276  0.9497  0.39
Ce  0.6361  0.2724  0.0503  0.39
Ce  0.3639  0.7276  0.5503  0.39

- magnetic moment (μB/f.u.) = 0.98

***

Which structure is most stable? ii), by 329 meV/atom over the runner-up.

***

i) ## CePmPt (GGA-PBE)

Data for a geometry-optimized CePmPt structure.

a = 3.9237 Å, b = 4.6930 Å, c = 4.6930 Å
α = 120.00°, β = 90.00°, γ = 90.00°
Last column: magnetic moment on the atom in μB.
Fractional positions:
Pt  0.0089  0.0000  0.0000  -0.01
Pm  0.6897  0.6667  0.3333  0.00
Ce  0.3014  0.3333  0.6667  0.22

- magnetic moment (μB/f.u.) = 0.25

***

ii) ## CePmPt (GGA-PBE)

Data for a geometry-optimized CePmPt structure.

a = 4.9736 Å, b = 4.9736 Å, c = 4.9736 Å
α = 60.00°, β = 60.00°, γ = 60.00°
Last column: magnetic moment on the atom in μB.
Fractional positions:
Pm  0.0000  0.0000  0.0000  0.10
Ce  0.5000  0.5000  0.5000  0.83
Pt  0.2500  0.2500  0.2500  0.00

- magnetic moment (μB/f.u.) = 1.20

***

Which structure is most stable? ii), by 59 meV/atom over the runner-up.